Below is crystalline Pu3HfGa12 at its relaxed geometry, with properties calculated at the PBE level.

## Properties
- crystal system = tetragonal
- DOS at the Fermi energy (states/eV per cell) = 29.721
- energy relative to the elements (meV/atom) = -378
- space group = P4/mmm (123)

a b c (Å): 4.2328 4.2328 16.9458
angles (deg): 90.00 90.00 90.00
Closest atoms and distances in Å follow each position.
Sites, in units of the cell vectors:
Pu1 0.0000 0.0000 0.0000  12 Ga 2.99-3.02
Pu2 0.0000 0.0000 0.2565  12 Ga 2.98-3.04
Pu3 0.0000 0.0000 0.7435  12 Ga 2.98-3.04
Hf1 0.0000 0.0000 0.5000  12 Ga 2.93-2.99
Ga1 0.0000 0.5000 0.1275  8 Ga 2.98-3.02, 4 Pu 3.02-3.04
Ga2 0.0000 0.5000 0.3802  2 Hf 2.93, 8 Ga 2.93-3.04, 2 Pu 2.98
Ga3 0.0000 0.5000 0.6198  2 Hf 2.93, 8 Ga 2.93-3.04, 2 Pu 2.98
Ga4 0.0000 0.5000 0.8725  8 Ga 2.98-3.02, 4 Pu 3.02-3.04
Ga5 0.5000 0.0000 0.1275  8 Ga 2.98-3.02, 4 Pu 3.02-3.04
Ga6 0.5000 0.0000 0.3802  2 Hf 2.93, 8 Ga 2.93-3.04, 2 Pu 2.98
Ga7 0.5000 0.0000 0.6198  2 Hf 2.93, 8 Ga 2.93-3.04, 2 Pu 2.98
Ga8 0.5000 0.0000 0.8725  8 Ga 2.98-3.02, 4 Pu 3.02-3.04
Ga9 0.5000 0.5000 0.0000  4 Pu 2.99, 8 Ga 3.02
Ga10 0.5000 0.5000 0.2516  8 Ga 2.98-3.04, 4 Pu 2.99
Ga11 0.5000 0.5000 0.5000  8 Ga 2.93, 4 Hf 2.99
Ga12 0.5000 0.5000 0.7484  8 Ga 2.98-3.04, 4 Pu 2.99